[1]
Below is crystalline YZr2Cl at its relaxed geometry, with properties calculated at the GGA-PBE level.

Results
Final energy (eV per atom): -6.5267
Formation energy without anion corrections (eV per atom): -0.1750
Offset from the most stable computed form (meV per atom): 279

abc: 3.3259 5.6140 10.1456
angles: 90.00 90.00 90.00
Space group Cmmm (No. 65)
Symmetry-distinct sites (fractional):
Y1 0.0000 0.0000 0.0000 x2
Zr1 0.0000 0.5000 0.2803 x4
Cl1 0.0000 0.0000 0.5000 x2


[2]
Below is crystalline YZr2Cl at its relaxed geometry, with properties calculated at the GGA-PBE level.

Results
Final energy (eV per atom): -6.6465
Formation energy without anion corrections (eV per atom): -0.2948
Offset from the most stable computed form (meV per atom): 159

abc: 3.3171 3.3171 29.4959
angles: 90.00 90.00 120.00
Space group R-3m (No. 166, hexagonal axes)
Symmetry-distinct sites (fractional):
Y1 0.0000 0.0000 0.0000 x3
Zr1 0.0000 0.0000 0.2399 x6
Cl1 0.0000 0.0000 0.5000 x3


[3]
Below is crystalline YZr2Cl at its relaxed geometry, with properties calculated at the GGA-PBE level.

Results
Final energy (eV per atom): -6.3772
Formation energy without anion corrections (eV per atom): -0.0254
Offset from the most stable computed form (meV per atom): 428

abc: 4.0228 4.0228 24.7148
angles: 90.00 90.00 90.00
Space group I-42d (No. 122)
Symmetry-distinct sites (fractional):
Y1 0.0000 0.0000 0.0000 x4
Zr1 0.2465 0.2500 0.1250 x8
Cl1 0.0000 0.0000 0.5000 x4


[4]
Below is crystalline YZr2Cl at its relaxed geometry, with properties calculated at the GGA-PBE level.

Results
Final energy (eV per atom): -6.0495
Formation energy without anion corrections (eV per atom): 0.3022
Offset from the most stable computed form (meV per atom): 756

abc: 7.2803 7.2803 7.2803
angles: 90.00 90.00 90.00
Space group F-43m (No. 216)
Symmetry-distinct sites (fractional):
Y1 0.0000 0.0000 0.0000 x4
Zr1 0.0000 0.0000 0.5000 x4
Zr2 0.2500 0.2500 0.2500 x4
Cl1 0.2500 0.2500 0.7500 x4


[5]
Below is crystalline YZr2Cl at its relaxed geometry, with properties calculated at the GGA-PBE level.

Results
Final energy (eV per atom): -6.3234
Formation energy without anion corrections (eV per atom): 0.0284
Offset from the most stable computed form (meV per atom): 482

abc: 4.0345 4.0345 11.9927
angles: 90.00 90.00 90.00
Space group I4/mmm (No. 139)
Symmetry-distinct sites (fractional):
Y1 0.0000 0.0000 0.0000 x2
Zr1 0.0000 0.5000 0.2500 x4
Cl1 0.0000 0.0000 0.5000 x2


[6]
Below is crystalline YZr2Cl at its relaxed geometry, with properties calculated at the GGA-PBE level.

Results
Final energy (eV per atom): -6.5903
Formation energy without anion corrections (eV per atom): -0.2385
Offset from the most stable computed form (meV per atom): 215

abc: 3.0819 5.2719 11.4012
angles: 90.00 90.00 90.00
Space group Immm (No. 71)
Symmetry-distinct sites (fractional):
Y1 0.0000 0.0000 0.0000 x2
Zr1 0.0000 0.5000 0.2145 x4
Cl1 0.0000 0.0000 0.5000 x2


[7]
Below is crystalline YZr2Cl at its relaxed geometry, with properties calculated at the GGA-PBE level.

Results
Final energy (eV per atom): -6.4904
Formation energy without anion corrections (eV per atom): -0.1387
Offset from the most stable computed form (meV per atom): 315

abc: 3.2458 3.2458 8.7777
angles: 90.00 90.00 90.00
Space group P4/mmm (No. 123)
Symmetry-distinct sites (fractional):
Y1 0.0000 0.0000 0.0000 x1
Zr1 0.5000 0.5000 0.2906 x2
Cl1 0.0000 0.0000 0.5000 x1


[8]
Below is crystalline YZr2Cl at its relaxed geometry, with properties calculated at the GGA-PBE level.

Results
Final energy (eV per atom): -6.8054
Formation energy without anion corrections (eV per atom): -0.4537
Offset from the most stable computed form (meV per atom): 0

abc: 3.4103 3.4103 28.5406
angles: 90.00 90.00 120.00
Space group R3m (No. 160, hexagonal axes)
Symmetry-distinct sites (fractional):
Y1 0.0000 0.0000 0.0000 x3
Zr1 0.0000 0.0000 0.2398 x3
Zr2 0.0000 0.0000 0.4890 x3
Cl1 0.0000 0.0000 0.7531 x3


[9]
Below is crystalline YZrCl4 at its relaxed geometry, with properties calculated at the GGA-PBE level.

Results
Final energy (eV per atom): -3.8076
Formation energy without anion corrections (eV per atom): -0.0745

abc: 8.2760 8.2760 8.2760
angles: 90.00 90.00 90.00
Space group F-43m (No. 216)
Symmetry-distinct sites (fractional):
Y1 0.0000 0.0000 0.0000 x4
Zr1 0.2500 0.2500 0.7500 x4
Cl1 0.1248 0.1248 0.3752 x16


[10]
Below is crystalline YZr2Cl at its relaxed geometry, with properties calculated at the GGA-PBE level.

Results
Final energy (eV per atom): -6.3019
Formation energy without anion corrections (eV per atom): 0.0498
Offset from the most stable computed form (meV per atom): 503

abc: 5.7065 10.2745 3.3428
angles: 90.00 90.00 90.00
Space group Cmmm (No. 65)
Symmetry-distinct sites (fractional):
Y1 0.0000 0.0000 0.0000 x2
Zr1 0.2500 0.2500 0.5000 x4
Cl1 0.0000 0.5000 0.0000 x2


[11]
Below is crystalline YZr2Cl at its relaxed geometry, with properties calculated at the GGA-PBE level.

Results
Final energy (eV per atom): -6.1596
Formation energy without anion corrections (eV per atom): 0.1921
Offset from the most stable computed form (meV per atom): 646

abc: 4.4951 4.4951 9.4833
angles: 90.00 90.00 90.00
Space group I-4m2 (No. 119)
Symmetry-distinct sites (fractional):
Y1 0.0000 0.0000 0.0000 x2
Zr1 0.0000 0.0000 0.5000 x2
Zr2 0.0000 0.5000 0.7500 x2
Cl1 0.0000 0.5000 0.2500 x2


[12]
Below is crystalline YZr2Cl at its relaxed geometry, with properties calculated at the GGA-PBE level.

Results
Final energy (eV per atom): -6.1630
Formation energy without anion corrections (eV per atom): 0.1887
Offset from the most stable computed form (meV per atom): 642

abc: 5.4637 5.4637 3.2573
angles: 90.00 90.00 90.00
Space group P4/mmm (No. 123)
Symmetry-distinct sites (fractional):
Y1 0.0000 0.0000 0.0000 x1
Zr1 0.0000 0.5000 0.5000 x2
Cl1 0.5000 0.5000 0.0000 x1


[13]
Below is crystalline ZnCl at its relaxed geometry, with properties calculated at the GGA-PBE level.

Results
Final energy (eV per atom): -2.1180
Formation energy without anion corrections (eV per atom): -0.5577

abc: 3.3214 7.3355 8.9286
angles: 90.00 90.00 90.00
Space group Imma (No. 74)
Symmetry-distinct sites (fractional):
Zn1 0.0000 0.2500 0.1349 x4
Cl1 0.0000 0.2500 0.5548 x4


[14]
Below is crystalline ZnCl at its relaxed geometry, with properties calculated at the GGA-PBE level.

Results
Final energy (eV per atom): -2.3045
Formation energy without anion corrections (eV per atom): -0.7442

abc: 9.6856 6.1025 7.3025
angles: 90.00 110.00 90.00
Space group C2/c (No. 15)
Symmetry-distinct sites (fractional):
Zn1 0.1236 0.0593 0.0614 x8
Cl1 0.1995 0.4630 0.1148 x8


[15]
Below is crystalline Zn3Cl at its relaxed geometry, with properties calculated at the GGA-PBE level.

Results
Final energy (eV per atom): -1.4132
Formation energy without anion corrections (eV per atom): 0.0040
Offset from the most stable computed form (meV per atom): 160

abc: 8.5419 8.5419 3.6334
angles: 90.00 90.00 120.00
Space group R-3m (No. 166, hexagonal axes)
Symmetry-distinct sites (fractional):
Zn1 0.0000 0.5000 0.0000 x9
Cl1 0.0000 0.0000 0.0000 x3


[16]
Below is crystalline ZnCl at its relaxed geometry, with properties calculated at the GGA-PBE level.

Results
Final energy (eV per atom): -2.1315
Formation energy without anion corrections (eV per atom): -0.5712

abc: 12.6801 3.5177 9.0735
angles: 90.00 134.30 90.00
Space group Cm (No. 8)
Symmetry-distinct sites (fractional):
Zn1 0.0000 0.0000 0.0000 x2
Zn2 0.0034 0.5000 0.6389 x2
Zn3 0.1426 0.5000 0.2797 x2
Cl1 0.1625 0.0000 0.8873 x2
Cl2 0.3154 0.0000 0.6373 x2
Cl3 0.4129 0.5000 0.3887 x2


[17]
Below is crystalline Zn3Cl at its relaxed geometry, with properties calculated at the GGA-PBE level.

Results
Final energy (eV per atom): -1.2138
Formation energy without anion corrections (eV per atom): 0.2033
Offset from the most stable computed form (meV per atom): 359

abc: 6.9054 6.9054 6.9054
angles: 90.00 90.00 90.00
Space group Fm-3m (No. 225)
Symmetry-distinct sites (fractional):
Zn1 0.0000 0.0000 0.0000 x4
Zn2 0.2500 0.2500 0.2500 x8
Cl1 0.0000 0.0000 0.5000 x4


[18]
Below is crystalline ZnCl at its relaxed geometry, with properties calculated at the GGA-PBE level.

Results
Final energy (eV per atom): -2.2215
Formation energy without anion corrections (eV per atom): -0.6612

abc: 11.2346 11.2346 3.3868
angles: 90.00 90.00 90.00
Space group I4/m (No. 87)
Symmetry-distinct sites (fractional):
Zn1 0.1754 0.7016 0.0000 x8
Cl1 0.0131 0.7146 0.5000 x8


[19]
Below is crystalline ZnCl at its relaxed geometry, with properties calculated at the GGA-PBE level.

Results
Final energy (eV per atom): -2.2201
Formation energy without anion corrections (eV per atom): -0.6598

abc: 4.0077 15.1148 5.4351
angles: 90.00 90.00 90.00
Space group Pmmn (No. 59, origin choice 2)
Symmetry-distinct sites (fractional):
Zn1 0.2500 0.0248 0.1054 x4
Zn2 0.2500 0.2500 0.2413 x2
Cl1 0.2500 0.1206 0.4588 x4
Cl2 0.2500 0.7500 0.9924 x2


[20]
Below is crystalline Zn2Cl at its relaxed geometry, with properties calculated at the GGA-PBE level.

Results
Final energy (eV per atom): -1.5870
Formation energy without anion corrections (eV per atom): -0.1221
Offset from the most stable computed form (meV per atom): 170

abc: 5.0646 5.0646 11.1914
angles: 90.00 90.00 120.00
Space group P6_3/mmc (No. 194)
Symmetry-distinct sites (fractional):
Zn1 0.0000 0.0000 0.0000 x2
Zn2 0.1665 0.3331 0.2500 x6
Cl1 0.3333 0.6667 0.6044 x4